{"formula": "LiVSb2", "functional": "PBE", "state": "optimized geometry", "cell": [[1.7011, 0.9821, 8.4089], [-1.7011, 0.9821, 8.4089], [0.0000, -1.9642, 8.4089]], "species": ["Li", "V", "Sb", "Sb"], "fractional_positions": [[0.0000, 0.0000, 0.0000], [0.1637, 0.1637, 0.1637], [0.5724, 0.5724, 0.5724], [0.7558, 0.7558, 0.7558]], "space_group": "R3m", "n_ef_per_ev_cell": 1.9, "polymorph_energy_mev_per_atom": 9, "e_form_raw_mev_per_atom": -166}